No. 1
SmBiO3 | PBE | optimized geometry

Calculated values
ΔE_f (raw) (eV/atom): -2.325
Spin magnetization (μB/cell): 0.00
Calculated total energy (eV/cell): -70.196

abc: 7.198 7.198 6.851
angles: 117.65 117.65 30.46
Atoms (fractional coordinates):
Sm: 0.133 0.133 0.468
Sm: 0.867 0.867 0.532
Bi: 0.380 0.380 0.042
Bi: 0.620 0.620 0.958
O: 0.074 0.074 0.743
O: 0.259 0.259 0.325
O: 0.438 0.438 0.781
O: 0.562 0.562 0.219
O: 0.741 0.741 0.675
O: 0.926 0.926 0.257

***

No. 2
Na3Pb | PBE | optimized geometry

Calculated values
Spin magnetization (μB/cell): 0.00
Calculated total energy (eV/cell): -8.011
DFT formation energy (eV/atom): -0.09

abc: 4.027 5.466 5.466
angles: 90.00 90.00 90.00
Atoms (fractional coordinates):
Na: 0.000 0.000 0.000
Na: 0.000 0.500 0.499
Na: 0.500 0.000 0.500
Pb: 0.500 0.500 0.999

***

No. 3
GePtBr2 | PBE | optimized geometry

Calculated values
ΔE_f (raw) (eV/atom): 0.313
Spin magnetization (μB/cell): 0.00
Calculated total energy (eV/cell): -25.503

abc: 9.060 9.060 9.060
angles: 148.67 148.67 44.90
Atoms (fractional coordinates):
Ge: 0.000 0.000 0.000
Ge: 0.750 0.250 0.500
Pt: 0.250 0.750 0.500
Pt: 0.500 0.500 0.000
Br: 0.145 0.625 0.020
Br: 0.375 0.395 0.520
Br: 0.605 0.125 0.980
Br: 0.875 0.855 0.480